This record from the Alexandria database describes Tl5MoO4F2 after structural relaxation. The functional is GGA+U.

abc: 6.6456 5.9463 8.5021
angles: 90.00 90.00 123.97
Atoms (fractional coordinates):
Tl 0.0795 0.3647 0.7466
Tl 0.7148 0.6353 0.2534
Tl 0.3946 0.0000 0.5000
Tl 0.7148 0.6353 0.7466
Tl 0.0795 0.3647 0.2534
O 0.1142 0.6966 0.0000
O 0.5770 0.0000 0.8270
O 0.5770 0.0000 0.1730
O 0.4176 0.3034 0.0000
F 0.4713 0.6252 0.5000
F 0.8461 0.3748 0.5000
Mo 0.4190 0.0000 0.0000

Crystal system: orthorhombic
Calculated total energy (eV per atom): -4.82
DOS(E_F) (states/eV/cell): 3.344